VASP calculation (SCAN) on a crystal of AlCo2Rh relaxed with PBEsol.

```
AlCo2Rh
1.0
2.432 -4.157 0.000
2.432 4.157 0.000
-1.055 0.000 2.402
Al Co Rh
1 2 1
Cartesian
0.000 0.000 0.000
0.689 2.078 1.201
0.689 -2.078 1.201
2.432 0.000 0.000
```

Results
DOS at the Fermi energy, states/eV/cell: 2.023
Total energy, hartree per atom: -0.7116
ΔH_f (0 K), meV per atom: -331
Mass density, Mg/m³: 8.47



VASP calculation (SCAN) on a crystal of Al2CoRh relaxed with PBEsol.

```
Al2CoRh
1.0
2.906 0.000 0.000
0.000 2.906 0.000
0.000 0.000 5.772
Al Co Rh
2 1 1
Cartesian
0.000 0.000 1.365
0.000 0.000 4.407
1.453 1.453 0.000
1.453 1.453 2.886
```

Results
DOS at the Fermi energy, states/eV/cell: 0.947
Total energy, hartree per atom: -0.6477
ΔH_f (0 K), meV per atom: -979
Mass density, Mg/m³: 7.35



VASP calculation (SCAN) on a crystal of AlCo2Rh relaxed with PBEsol.

```
AlCo2Rh
1.0
4.326 -1.376 0.000
4.326 1.376 0.000
-1.478 0.000 4.005
Al Co Rh
1 2 1
Cartesian
0.000 0.000 0.000
3.496 0.000 1.892
5.960 0.000 1.343
0.907 0.000 3.305
```

Results
DOS at the Fermi energy, states/eV/cell: 2.708
Total energy, hartree per atom: -0.7116
ΔH_f (0 K), meV per atom: -331
Mass density, Mg/m³: 8.63



We obtain total magnetization values of 4.1; 0.3; 3.8 μB per formula unit for the records listed above, in that order.